Computed, not measured: an optimized crystal structure of MgScFe2 at the PBE level of DFT.

Geometry as extended XYZ:
```
4
Lattice="-2.047 2.047 3.722 2.047 -2.047 3.722 2.047 2.047 -3.722" Properties=species:S:1:pos:R:3 pbc="T T T"
Mg 0.000 0.000 0.000
Sc 0.000 0.000 3.722
Fe 2.047 0.000 1.861
Fe 0.000 2.047 1.861
```

Computed properties:
Space group: No. 139


Computed, not measured: an optimized crystal structure of MgSc3Fe at the PBE level of DFT.

Geometry as extended XYZ:
```
5
Lattice="4.870 0.000 0.000 0.000 4.870 0.000 0.000 0.000 4.870" Properties=species:S:1:pos:R:3 pbc="T T T"
Mg 0.000 0.000 0.000
Sc 0.000 2.435 2.435
Sc 2.435 0.000 2.435
Sc 2.435 2.435 0.000
Fe 2.435 2.435 2.435
```

Computed properties:
Space group: No. 221
Energy above the lowest structure with this stoichiometry (meV per atom): 101.7


Computed, not measured: an optimized crystal structure of MgScFe2 at the PBE level of DFT.

Geometry as extended XYZ:
```
4
Lattice="-1.582 2.209 4.535 1.582 -2.209 4.535 1.582 2.209 -4.535" Properties=species:S:1:pos:R:3 pbc="T T T"
Mg 0.000 0.000 0.000
Sc 1.582 0.000 2.566
Fe 0.000 0.000 5.014
Fe 0.000 2.209 2.191
```

Computed properties:
Space group: No. 44


Computed, not measured: an optimized crystal structure of MgSc4Fe at the PBE level of DFT.

Geometry as extended XYZ:
```
12
Lattice="8.068 0.000 0.000 0.000 6.358 0.000 -1.071 0.000 5.442" Properties=species:S:1:pos:R:3 pbc="T T T"
Mg 0.000 0.000 0.000
Mg -0.536 3.179 2.721
Sc 1.238 0.746 3.096
Sc 1.774 2.432 0.375
Sc 2.391 4.025 3.294
Sc 2.926 5.511 0.573
Sc 4.070 0.846 4.869
Sc 4.606 2.332 2.148
Sc 5.223 3.925 5.067
Sc 5.758 5.611 2.346
Fe 3.498 0.000 2.721
Fe 4.034 3.179 0.000
```

Computed properties:
Space group: No. 14
Energy above the lowest structure with this stoichiometry (meV per atom): 0.0


Computed, not measured: an optimized crystal structure of Mg2ScFe at the PBE level of DFT.

Geometry as extended XYZ:
```
4
Lattice="-2.152 2.152 4.057 2.152 -2.152 4.057 2.152 2.152 -4.057" Properties=species:S:1:pos:R:3 pbc="T T T"
Mg 0.000 0.000 0.000
Mg 0.000 2.152 2.029
Sc 2.152 0.000 2.029
Fe 0.000 0.000 4.057
```

Computed properties:
Space group: No. 119


Computed, not measured: an optimized crystal structure of Mg2Sc6Fe at the PBE level of DFT.

Geometry as extended XYZ:
```
9
Lattice="3.392 0.000 0.000 0.000 7.168 4.198 0.000 -7.168 4.198" Properties=species:S:1:pos:R:3 pbc="T T T"
Mg 0.000 -4.725 4.198
Mg 0.000 4.725 4.198
Sc 0.000 -1.624 3.172
Sc 0.000 1.624 3.172
Sc 0.000 0.000 6.281
Sc 1.696 0.000 0.927
Sc 1.696 -2.608 5.740
Sc 1.696 2.608 5.740
Fe 1.696 0.000 4.356
```

Computed properties:
Space group: No. 38


no.,E_form (eV per atom),density of states at the Fermi level (states/eV/f.u.),DFT total energy (eV per atom)
1,0.179,4.33,-6.0334
2,0.050,2.97,-5.7608
3,0.065,4.01,-6.1484
4,0.100,5.25,-5.7973
5,0.169,3.99,-4.3266
6,-0.001,15.40,-5.5168